Record 1
First-principles (PBE-GGA) data for crystalline Tl7Hg5Bi at its relaxed geometry, as listed in Alexandria.

abc: 6.0684 8.6721 8.6721
angles: 83.62 69.52 69.52
Last column: nearest neighbours and their distance in Å.
Sites, in units of the cell vectors:
Hg  0.9960  0.0312  0.4735  3 Hg 3.01-3.25, 4 Tl 3.27-3.37
Hg  0.5007  0.5265  0.9688  3 Hg 3.01-3.25, 4 Tl 3.27-3.37
Hg  0.0040  0.5265  0.9688  3 Hg 3.01-3.25, 4 Tl 3.27-3.37
Hg  0.5000  0.3242  0.6758  4 Tl 3.22-3.40, 4 Hg 3.25
Hg  0.4993  0.0312  0.4735  3 Hg 3.01-3.25, 4 Tl 3.27-3.37
Tl  0.6933  0.3336  0.2798  5 Hg 3.22-3.36, 3 Tl 3.43-3.53
Tl  0.3067  0.7202  0.6664  5 Hg 3.22-3.36, 3 Tl 3.43-3.53
Tl  0.5000  0.7536  0.2464  4 Hg 3.27, 6 Tl 3.43-3.65, 2 Bi 3.50
Tl  0.3505  0.1819  0.1171  4 Tl 3.41-3.65, 5 Hg 3.41-3.78, 2 Bi 3.78
Tl  0.0000  0.1919  0.8081  1 Bi 3.31, 6 Hg 3.37-3.40
Tl  0.6495  0.8829  0.8181  4 Tl 3.41-3.65, 5 Hg 3.41-3.78, 2 Bi 3.78
Tl  0.0000  0.5908  0.4092  6 Tl 3.57-3.82, 1 Bi 3.64, 4 Hg 3.91
Bi  0.0000  0.9053  0.0947  4 Tl 3.31-3.64, 4 Hg 3.56

Properties
Symmetry   No. 44
Energy of formation   0.024 eV per atom
VASP energy   -1.665 eV per atom



Record 2
First-principles (PBE-GGA) data for crystalline ErSnAu at its relaxed geometry, as listed in Alexandria.

abc: 4.7324 4.7324 4.7324
angles: 60.00 60.00 60.00
Last column: nearest neighbours and their distance in Å.
Sites, in units of the cell vectors:
Au  0.2500  0.2500  0.2500  4 Sn 2.90, 4 Er 2.90
Sn  0.0000  0.0000  0.0000  4 Au 2.90
Er  0.5000  0.5000  0.5000  4 Au 2.90

Properties
Symmetry   No. 216
Energy of formation   -0.844 eV per atom
VASP energy   -4.792 eV per atom



Record 3
First-principles (PBE-GGA) data for crystalline La5ThGe4 at its relaxed geometry, as listed in Alexandria.

abc: 4.3823 8.5170 9.7821
angles: 105.74 102.94 90.00
Last column: nearest neighbours and their distance in Å.
Sites, in units of the cell vectors:
Ge  0.3303  0.8965  0.6605  5 La 2.99-3.08, 1 Th 3.11
Ge  0.6697  0.1035  0.3395  5 La 2.99-3.08, 1 Th 3.11
Ge  0.9973  0.7482  0.9946  4 La 2.99-3.06, 2 Th 3.06
Ge  0.0027  0.2518  0.0054  4 La 2.99-3.06, 2 Th 3.06
La  0.5000  0.5000  0.0000  4 Ge 3.06
La  0.8356  0.1504  0.6712  4 Ge 3.06-3.08
La  0.1644  0.8496  0.3288  4 Ge 3.06-3.08
La  0.1660  0.3406  0.3320  3 Ge 2.99
La  0.8340  0.6594  0.6680  3 Ge 2.99
Th  0.5000  0.0000  0.0000  6 Ge 3.06-3.11

Properties
Symmetry   No. 12
Energy of formation   -0.587 eV per atom
VASP energy   -5.640 eV per atom



Record 4
First-principles (PBE-GGA) data for crystalline Cs3InPb2I9 at its relaxed geometry, as listed in Alexandria.

abc: 8.9259 8.9259 10.9257
angles: 90.00 90.00 120.00
Last column: nearest neighbours and their distance in Å.
Sites, in units of the cell vectors:
In  0.0000  0.0000  0.5000  6 I 3.09
I  0.1629  0.3258  0.3362  1 In 3.09, 1 Pb 3.18
I  0.5000  0.5000  0.0000  2 Pb 3.19
I  0.1629  0.8371  0.3362  1 In 3.09, 1 Pb 3.18
I  0.5000  0.0000  0.0000  2 Pb 3.19
I  0.8371  0.1629  0.6638  1 In 3.09, 1 Pb 3.18
I  0.0000  0.5000  0.0000  2 Pb 3.19
I  0.8371  0.6742  0.6638  1 In 3.09, 1 Pb 3.18
I  0.3258  0.1629  0.6638  1 In 3.09, 1 Pb 3.18
I  0.6742  0.8371  0.3362  1 In 3.09, 1 Pb 3.18
Cs  0.0000  0.0000  0.0000  12 I 4.45-4.46
Cs  0.6667  0.3333  0.3312  12 I 4.44-4.49
Cs  0.3333  0.6667  0.6688  12 I 4.44-4.49
Pb  0.3333  0.6667  0.1726  6 I 3.18-3.19
Pb  0.6667  0.3333  0.8274  6 I 3.18-3.19

Properties
Symmetry   No. 164
VASP energy   -2.734 eV per atom
Formation energy (no corrections)   -0.9563 eV/atom



Record 5
First-principles (PBE-GGA) data for crystalline U2AlSi2Os5 at its relaxed geometry, as listed in Alexandria.

abc: 3.1632 10.0863 10.0863
angles: 90.00 90.00 90.00
Last column: nearest neighbours and their distance in Å.
Sites, in units of the cell vectors:
Os  0.5000  0.5594  0.7065  2 Si 2.40, 2 Al 2.68
Os  0.5000  0.0000  0.5000  4 Si 2.42
Os  0.5000  0.5000  0.0000  4 Si 2.42
Os  0.5000  0.7065  0.4406  2 Si 2.40, 2 Al 2.68
Os  0.5000  0.0594  0.7935  2 Si 2.40, 2 Al 2.68
Os  0.5000  0.9406  0.2065  2 Si 2.40, 2 Al 2.68
Os  0.5000  0.7935  0.9406  2 Si 2.40, 2 Al 2.68
Os  0.5000  0.4406  0.2935  2 Si 2.40, 2 Al 2.68
Os  0.5000  0.2065  0.0594  2 Si 2.40, 2 Al 2.68
Os  0.5000  0.2935  0.5594  2 Si 2.40, 2 Al 2.68
Si  0.0000  0.6281  0.8719  6 Os 2.40-2.42
Si  0.0000  0.3719  0.1281  6 Os 2.40-2.42
Si  0.0000  0.1281  0.6281  6 Os 2.40-2.42
Si  0.0000  0.8719  0.3719  6 Os 2.40-2.42
Al  0.0000  0.0000  0.0000  8 Os 2.68
Al  0.0000  0.5000  0.5000  8 Os 2.68
U  0.0000  0.3244  0.8244  3 Si 2.80-3.10, 10 Os 2.96-3.12
U  0.0000  0.1756  0.3244  3 Si 2.80-3.10, 10 Os 2.96-3.12
U  0.0000  0.6756  0.1756  3 Si 2.80-3.10, 10 Os 2.96-3.12
U  0.0000  0.8244  0.6756  3 Si 2.80-3.10, 10 Os 2.96-3.12

Properties
Symmetry   No. 127
VASP energy   -9.602 eV per atom
Formation energy (no corrections)   -0.2702 eV/atom



Record 6
First-principles (PBE-GGA) data for crystalline PaCd2Au4 at its relaxed geometry, as listed in Alexandria.

abc: 4.7718 3.1526 10.0501
angles: 99.02 103.73 90.00
Last column: nearest neighbours and their distance in Å.
Sites, in units of the cell vectors:
Au  0.9284  0.4284  0.8569  3 Au 2.76-2.82, 2 Cd 2.96
Au  0.0716  0.5716  0.1431  3 Au 2.76-2.82, 2 Cd 2.96
Au  0.3508  0.3508  0.7016  4 Au 2.82-3.15, 5 Cd 2.87-3.03
Au  0.6492  0.6492  0.2984  4 Au 2.82-3.15, 5 Cd 2.87-3.03
Cd  0.2019  0.2019  0.4037  7 Au 2.87-3.03, 2 Cd 3.15
Cd  0.7981  0.7981  0.5963  7 Au 2.87-3.03, 2 Cd 3.15
Pa  0.5000  0.0000  0.0000  2 Pa 3.15, 12 Au 3.17-3.28

Properties
Symmetry   No. 71
Energy of formation   -0.256 eV per atom
VASP energy   -3.747 eV per atom



Record 7
First-principles (PBE-GGA) data for crystalline AcPm10Y6 at its relaxed geometry, as listed in Alexandria.

abc: 6.9666 9.9193 9.9193
angles: 120.00 90.00 90.00
Last column: nearest neighbours and their distance in Å.
Sites, in units of the cell vectors:
Pm  0.1723  0.0000  0.7176  5 Y 3.47-3.69, 1 Ac 3.61, 4 Pm 3.69-3.78
Pm  0.8277  0.0000  0.2824  5 Y 3.47-3.69, 1 Ac 3.61, 4 Pm 3.69-3.78
Pm  0.0000  0.6667  0.3333  8 Pm 3.48-3.78, 6 Y 3.82
Pm  0.1723  0.2824  0.2824  5 Y 3.47-3.69, 1 Ac 3.61, 4 Pm 3.69-3.78
Pm  0.8277  0.7176  0.7176  5 Y 3.47-3.69, 1 Ac 3.61, 4 Pm 3.69-3.78
Pm  0.0000  0.3333  0.6667  8 Pm 3.48-3.78, 6 Y 3.82
Pm  0.5000  0.6667  0.3333  6 Y 3.40, 2 Pm 3.48
Pm  0.8277  0.2824  0.0000  5 Y 3.47-3.69, 1 Ac 3.61, 4 Pm 3.69-3.78
Pm  0.5000  0.3333  0.6667  6 Y 3.40, 2 Pm 3.48
Pm  0.1723  0.7176  0.0000  5 Y 3.47-3.69, 1 Ac 3.61, 4 Pm 3.69-3.78
Ac  0.5000  0.0000  0.0000  6 Pm 3.61, 6 Y 3.90
Y  0.6866  0.6295  0.0000  7 Pm 3.40-3.69, 1 Y 3.65
Y  0.6866  0.3705  0.3705  7 Pm 3.40-3.69, 1 Y 3.65
Y  0.3134  0.0000  0.3705  7 Pm 3.40-3.69, 1 Y 3.65
Y  0.3134  0.6295  0.6295  7 Pm 3.40-3.69, 1 Y 3.65
Y  0.6866  0.0000  0.6295  7 Pm 3.40-3.69, 1 Y 3.65
Y  0.3134  0.3705  0.0000  7 Pm 3.40-3.69, 1 Y 3.65

Properties
Symmetry   No. 162
Energy of formation   0.139 eV per atom
VASP energy   -5.179 eV per atom



Record 8
First-principles (PBE-GGA) data for crystalline Y2CrCd at its relaxed geometry, as listed in Alexandria.

abc: 5.2761 3.3687 10.6759
angles: 90.00 96.61 90.00
Last column: nearest neighbours and their distance in Å.
Sites, in units of the cell vectors:
Cd  0.2773  0.0000  0.0932  8 Y 3.23-3.33, 4 Cd 3.25-3.37
Cd  0.7227  0.0000  0.9068  8 Y 3.23-3.33, 4 Cd 3.25-3.37
Y  0.6654  0.5000  0.6361  6 Cr 3.06-3.30, 5 Y 3.21-3.37, 2 Cd 3.33
Y  0.7949  0.5000  0.1704  2 Cr 3.23, 6 Cd 3.23-3.26, 4 Y 3.32-3.37
Y  0.3346  0.5000  0.3639  6 Cr 3.06-3.30, 5 Y 3.21-3.37, 2 Cd 3.33
Y  0.2051  0.5000  0.8296  2 Cr 3.23, 6 Cd 3.23-3.26, 4 Y 3.32-3.37
Cr  0.1290  0.0000  0.5695  1 Cr 1.90
Cr  0.8710  0.0000  0.4305  1 Cr 1.90

Properties
Symmetry   No. 10
Energy of formation   0.055 eV per atom
VASP energy   -5.811 eV per atom



Record 9
First-principles (PBE-GGA) data for crystalline K2SnH at its relaxed geometry, as listed in Alexandria.

abc: 3.6668 3.6668 10.4265
angles: 79.87 79.87 60.00
Last column: nearest neighbours and their distance in Å.
Sites, in units of the cell vectors:
H  0.5000  0.5000  0.5000  6 K 2.71
K  0.1114  0.1114  0.6658  3 H 2.71
K  0.8886  0.8886  0.3342  3 H 2.71
Sn  0.0000  0.0000  0.0000  2 K 3.41, 6 Sn 3.67

Properties
Symmetry   No. 166
Distance to the lowest polymorph of the same formula   0 meV per atom
VASP energy   -2.313 eV per atom



Record 10
First-principles (PBE-GGA) data for crystalline ScGaFe2H at its relaxed geometry, as listed in Alexandria.

abc: 3.8220 3.8220 4.0212
angles: 90.00 90.00 90.00
Last column: nearest neighbours and their distance in Å.
Sites, in units of the cell vectors:
Ga  0.5000  0.5000  0.5000  4 Sc 2.70, 8 Fe 2.77
Fe  0.5000  0.0000  0.0000  2 H 1.91
Fe  0.0000  0.5000  0.0000  2 H 1.91
Sc  0.0000  0.0000  0.5000  2 H 2.01
H  0.0000  0.0000  0.0000  4 Fe 1.91, 2 Sc 2.01

Properties
Symmetry   No. 123
VASP energy   -6.100 eV per atom